SrTbHg3 | PBE-GGA | optimized geometry

Geometry as POSCAR:
```
SrTbHg3
1.0
1.9365 -14.8256 0.0000
1.9365 14.8256 0.0000
0.0000 0.0000 4.9452
Sr Tb Hg
2 2 6
Direct
0.0777 0.9223 0.7500 Sr
0.9223 0.0777 0.2500 Sr
0.2096 0.7904 0.2500 Tb
0.7904 0.2096 0.7500 Tb
0.3134 0.6866 0.2500 Hg
0.3744 0.6256 0.7500 Hg
0.4738 0.5262 0.7500 Hg
0.5262 0.4738 0.2500 Hg
0.6256 0.3744 0.2500 Hg
0.6866 0.3134 0.7500 Hg
```

Summary:
DFT formation energy: -0.4607 eV per atom
VASP energy: -1.9042 eV per atom
Symmetry: Cmcm